First-principles (PBE) data for a relaxed DyScSn crystal, as listed in the Open Quantum Materials Database.

Calculated values
* SG: F-43m
* magnetic moment: 0.01 μB per formula unit
* electronic total energy: -16.01 eV per cell

Lattice parameters (Å, degrees): 4.9874 4.9874 4.9874 60.00 60.00 60.00
Last column: nearest neighbours and their distance in Å.
Fractional positions:
Dy  0.5000  0.5000  0.5000  4 Sn 3.05
Sc  0.0000  0.0000  0.0000  4 Sn 3.05
Sn  0.2500  0.2500  0.2500  4 Dy 3.05, 4 Sc 3.05